! Cr2SiNiOs | Alexandria via LeMat-Bulk | PBE | optimized geometry; values from VASP
&SYSTEM
  ibrav = 0, nat = 5, ntyp = 4
/
ATOMIC_SPECIES
Cr 52.00 Cr.upf
Si 28.09 Si.upf
Ni 58.69 Ni.upf
Os 190.23 Os.upf
CELL_PARAMETERS angstrom
4.317 0.000 0.000
0.000 4.317 0.000
0.000 0.000 4.344
ATOMIC_POSITIONS angstrom
Cr 0.000 2.159 0.000
Cr 2.159 0.000 0.000
Si 0.000 0.000 0.000
Ni 2.159 2.159 2.172
Os 0.000 0.000 2.172
! magnetization = 4.3 μB/f.u.
! uncorrected energy = -7.14 eV per atom
! D(E_F) = 7.5 states/eV per cell
! formation energy (no corrections) = 5.99 eV per formula unit

=====

! CeMnSe4 | Alexandria via LeMat-Bulk | PBE | optimized geometry; values from VASP
&SYSTEM
  ibrav = 0, nat = 12, ntyp = 3
/
ATOMIC_SPECIES
Ce 140.12 Ce.upf
Mn 54.94 Mn.upf
Se 78.96 Se.upf
CELL_PARAMETERS angstrom
6.683 0.000 0.000
0.000 7.500 0.000
-0.013 0.000 5.551
ATOMIC_POSITIONS angstrom
Ce 0.000 0.000 0.000
Ce -0.006 3.750 2.775
Mn 3.335 0.000 2.775
Mn 3.342 3.750 0.000
Se 1.150 1.065 2.775
Se 1.144 2.685 5.550
Se 2.158 5.623 1.392
Se 2.152 5.627 4.167
Se 4.519 1.873 1.384
Se 4.513 1.877 4.159
Se 5.527 4.815 0.000
Se 5.520 6.435 2.776
! magnetization = 4.2 μB/f.u.
! uncorrected energy = -5.73 eV per atom
! D(E_F) = 5.1 states/eV per cell
! formation energy (no corrections) = -5.32 eV per formula unit

=====

> magnetization of number 2 (CeMnSe4)?

4.2 μB/f.u.

=====

> Look up the D(E_F) of the second one.

5.1 states/eV per cell

=====

> What is the uncorrected energy in the second record?

-5.73 eV per atom